No. 1
Computed, not measured: a relaxed LaZnNi2 crystal at the GGA-PBE level of DFT.

a b c (Å): 6.601 6.601 6.601
angles (deg): 90.00 90.00 90.00
Space group F-43m (No. 216)
One atom of each set of equivalent atoms:
La 0.000 0.000 0.000
Zn 0.250 0.250 0.250
Ni 0.000 0.000 0.500
Ni 0.250 0.250 0.750

Properties
energy of formation: 38 meV/atom
Fermi-level density of states: 16.8 states/eV/cell

=====

No. 2
Computed, not measured: a relaxed LaZnNi2 crystal at the GGA-PBE level of DFT.

a b c (Å): 4.527 4.527 16.214
angles (deg): 90.00 90.00 90.00
Space group I-42d (No. 122)
One atom of each set of equivalent atoms:
La 0.000 0.000 0.000
Zn 0.000 0.000 0.500
Ni 0.053 0.250 0.625

Properties
energy of formation: -93 meV/atom
Fermi-level density of states: 8.5 states/eV/cell

=====

No. 3
Computed, not measured: a relaxed LaZn9Ni3 crystal at the GGA-PBE level of DFT.

a b c (Å): 5.012 12.634 6.716
angles (deg): 90.00 111.73 90.00
Space group C2/m (No. 12)
One atom of each set of equivalent atoms:
La 0.000 0.000 0.000
Zn 0.000 0.500 0.500
Zn 0.114 0.384 0.223
Zn 0.159 0.178 0.341
Ni 0.000 0.000 0.500
Ni 0.250 0.250 0.000

Properties
energy of formation: -256 meV/atom
Fermi-level density of states: 14.7 states/eV/cell

=====

No. 4
Computed, not measured: a relaxed La3Zn2Ni4 crystal at the GGA-PBE level of DFT.

a b c (Å): 9.969 4.269 8.427
angles (deg): 90.00 98.26 90.00
Space group C2/m (No. 12)
One atom of each set of equivalent atoms:
La 0.000 0.000 0.000
La 0.125 0.500 0.379
Zn 0.180 0.500 0.786
Ni 0.085 0.000 0.638
Ni 0.238 0.500 0.086

Properties
energy of formation: -377 meV/atom
Fermi-level density of states: 11.6 states/eV/cell

=====

No. 5
Computed, not measured: a relaxed LaZn6Ni4 crystal at the GGA-PBE level of DFT.

a b c (Å): 6.357 6.357 9.008
angles (deg): 90.00 90.00 90.00
Space group I-42m (No. 121)
One atom of each set of equivalent atoms:
La 0.000 0.000 0.000
Zn 0.000 0.500 0.000
Zn 0.193 0.193 0.298
Ni 0.160 0.160 0.575

Properties
energy of formation: -161 meV/atom
Fermi-level density of states: 15.0 states/eV/cell

=====

No. 6
Computed, not measured: a relaxed LaZn2Ni9 crystal at the GGA-PBE level of DFT.

a b c (Å): 8.143 8.143 4.775
angles (deg): 90.00 90.00 90.00
Space group P4/mbm (No. 127)
One atom of each set of equivalent atoms:
La 0.000 0.000 0.000
Zn 0.116 0.384 0.000
Ni 0.000 0.500 0.500
Ni 0.066 0.213 0.500
Ni 0.178 0.678 0.244

Properties
energy of formation: -202 meV/atom
Fermi-level density of states: 34.3 states/eV/cell

=====

No. 7
Computed, not measured: a relaxed LaZnNi4 crystal at the GGA-PBE level of DFT.

a b c (Å): 3.876 15.233 6.123
angles (deg): 90.00 90.00 90.00
Space group Cmcm (No. 63)
One atom of each set of equivalent atoms:
La 0.000 0.104 0.250
Zn 0.000 0.233 0.750
Ni 0.000 0.077 0.750
Ni 0.000 0.335 0.059
Ni 0.000 0.500 0.000

Properties
energy of formation: -147 meV/atom
Fermi-level density of states: 16.4 states/eV/cell

=====

No. 8
Computed, not measured: a relaxed LaZn2Ni crystal at the GGA-PBE level of DFT.

a b c (Å): 4.344 4.408 4.530
angles (deg): 90.00 109.92 90.00
Space group P2/m (No. 10)
One atom of each set of equivalent atoms:
La 0.000 0.000 0.000
Zn 0.335 0.500 0.676
Ni 0.500 0.000 0.500

Properties
energy of formation: -254 meV/atom
Fermi-level density of states: 3.7 states/eV/cell

=====

No. 9
Computed, not measured: a relaxed LaZnNi2 crystal at the GGA-PBE level of DFT.

a b c (Å): 3.749 3.904 5.220
angles (deg): 90.00 111.00 90.00
Space group Pm (No. 6)
One atom of each set of equivalent atoms:
La 0.000 0.000 0.000
Zn 0.290 0.500 0.581
Ni 0.594 0.500 0.187
Ni 0.737 0.000 0.476

Properties
energy of formation: -223 meV/atom
Fermi-level density of states: 3.2 states/eV/cell

=====

No. 10
Computed, not measured: a relaxed LaZnNi crystal at the GGA-PBE level of DFT.

a b c (Å): 4.010 3.977 4.462
angles (deg): 90.00 116.35 90.00
Space group Pm (No. 6)
One atom of each set of equivalent atoms:
La 0.000 0.000 0.000
Zn 0.683 0.500 0.366
Ni 0.368 0.500 0.740

Properties
energy of formation: -363 meV/atom
offset from the most stable computed form: 8 kJ/mol of formula units
Fermi-level density of states: 2.1 states/eV/cell

=====

No. 11
Computed, not measured: a relaxed La2ZnNi2 crystal at the GGA-PBE level of DFT.

a b c (Å): 9.680 5.577 7.983
angles (deg): 90.00 105.49 90.00
Space group C2/c (No. 15)
One atom of each set of equivalent atoms:
La 0.147 0.157 0.147
Zn 0.000 0.356 0.750
Ni 0.137 0.359 0.508

Properties
energy of formation: -361 meV/atom
Fermi-level density of states: 15.2 states/eV/cell

=====

No. 12
Computed, not measured: a relaxed LaZn6Ni6 crystal at the GGA-PBE level of DFT.

a b c (Å): 4.982 8.433 8.719
angles (deg): 90.00 90.00 90.00
Space group Immm (No. 71)
One atom of each set of equivalent atoms:
La 0.000 0.000 0.000
Zn 0.000 0.000 0.353
Zn 0.000 0.347 0.000
Zn 0.000 0.500 0.290
Ni 0.000 0.267 0.500
Ni 0.250 0.250 0.250

Properties
energy of formation: -274 meV/atom
Fermi-level density of states: 13.4 states/eV/cell